This record from Alexandria describes a relaxed structure of La2FeW. The functional is PBE-GGA.

Unit cell a=3.173 b=3.174 c=9.206 alpha=90.00 beta=90.09 gamma=90.00
Space group Pm (No. 6)
Asymmetric unit:
La: 0.000 0.000 0.000
La: 0.499 0.500 0.385
Fe: 0.501 0.500 0.764
W: 0.001 0.000 0.637

Results
* calculated volume: 23.181 A^3/atom
* E_form: 0.3081 eV/atom
* total magnetization: 0.77 μB per formula unit
* crystal system: monoclinic